# Sr12Hg3O5

A geometry-optimized Sr12Hg3O5 structure (GGA-PBE, Alexandria via LeMat-Bulk).

Cell lengths 14.7025, 14.7025, 14.7025 Å; angles 109.47, 109.47, 109.47 degrees
Positions (direct):
Sr: 0.0108 0.1969 0.1140
Sr: 0.0108 0.3139 0.8968
Sr: 0.0829 0.6969 0.6861
Sr: 0.0829 0.8860 0.3968
Sr: 0.1032 0.6140 0.4171
Sr: 0.1032 0.9892 0.6861
Sr: 0.1140 0.0108 0.1969
Sr: 0.1140 0.6032 0.9171
Sr: 0.1861 0.1969 0.5829
Sr: 0.1861 0.4892 0.6032
Sr: 0.1969 0.1140 0.0108
Sr: 0.1969 0.5829 0.1861
Sr: 0.3031 0.3139 0.9171
Sr: 0.3031 0.4892 0.3860
Sr: 0.3139 0.8968 0.0108
Sr: 0.3139 0.9171 0.3031
Sr: 0.3860 0.3031 0.4892
Sr: 0.3860 0.5829 0.8968
Sr: 0.3968 0.0829 0.8860
Sr: 0.3968 0.8139 0.5108
Sr: 0.4171 0.1032 0.6140
Sr: 0.4171 0.8139 0.8031
Sr: 0.4892 0.3860 0.3031
Sr: 0.4892 0.6032 0.1861
Sr: 0.5108 0.3968 0.8139
Sr: 0.5108 0.6140 0.6969
Sr: 0.5829 0.1861 0.1969
Sr: 0.5829 0.8968 0.3860
Sr: 0.6032 0.1861 0.4892
Sr: 0.6032 0.9171 0.1140
Sr: 0.6140 0.4171 0.1032
Sr: 0.6140 0.6969 0.5108
Sr: 0.6861 0.0829 0.6969
Sr: 0.6861 0.1032 0.9892
Sr: 0.6969 0.5108 0.6140
Sr: 0.6969 0.6861 0.0829
Sr: 0.8031 0.4171 0.8139
Sr: 0.8031 0.8860 0.9892
Sr: 0.8139 0.5108 0.3968
Sr: 0.8139 0.8031 0.4171
Sr: 0.8860 0.3968 0.0829
Sr: 0.8860 0.9892 0.8031
Sr: 0.8968 0.0108 0.3139
Sr: 0.8968 0.3860 0.5829
Sr: 0.9171 0.1140 0.6032
Sr: 0.9171 0.3031 0.3139
Sr: 0.9892 0.6861 0.1032
Sr: 0.9892 0.8031 0.8860
Hg: 0.1250 0.2500 0.3750
Hg: 0.1250 0.3750 0.7500
Hg: 0.2500 0.3750 0.1250
Hg: 0.2500 0.8750 0.6250
Hg: 0.3750 0.1250 0.2500
Hg: 0.3750 0.7500 0.1250
Hg: 0.6250 0.2500 0.8750
Hg: 0.6250 0.8750 0.7500
Hg: 0.7500 0.1250 0.3750
Hg: 0.7500 0.6250 0.8750
Hg: 0.8750 0.6250 0.2500
Hg: 0.8750 0.7500 0.6250
O: 0.0000 0.0000 0.0000
O: 0.0000 0.0000 0.5000
O: 0.0000 0.5000 0.0000
O: 0.0000 0.5000 0.5000
O: 0.1250 0.7500 0.8750
O: 0.1250 0.8750 0.2500
O: 0.2500 0.1250 0.8750
O: 0.2500 0.6250 0.3750
O: 0.3750 0.2500 0.6250
O: 0.3750 0.6250 0.7500
O: 0.5000 0.0000 0.0000
O: 0.5000 0.0000 0.5000
O: 0.5000 0.5000 0.0000
O: 0.5000 0.5000 0.5000
O: 0.6250 0.3750 0.2500
O: 0.6250 0.7500 0.3750
O: 0.7500 0.3750 0.6250
O: 0.7500 0.8750 0.1250
O: 0.8750 0.1250 0.7500
O: 0.8750 0.2500 0.1250

Calculated values
space-group type	Ia-3d
spin magnetization	0.000	μB/atom
formation energy from raw total energies	-1415	meV/atom
Fermi-level density of states	43.3	states/eV per cell